DFT (PBE) results for a geometry-optimized Li3Mg2 structure.

## Properties
magnetic moment	0.000	μB per formula unit
density of states at the Fermi level	0.564	states/eV per atom
density	1041	kg/m3
DFT formation energy	1.092	kcal/mol of atoms
energy	-1.739	eV per atom
polymorph energy (0 for the lowest one)	0.085	eV/atom
SG	R-3m, No. 166

Cell lengths 5.1555, 5.1555, 5.1555 Å; angles 66.64, 66.64, 66.64 degrees
Atoms (fractional coordinates):
Li 0.0000 0.5000 0.5000
Li 0.5000 0.0000 0.5000
Li 0.5000 0.5000 0.0000
Mg 0.1249 0.1249 0.1249
Mg 0.8751 0.8751 0.8751